1.
Material: LiCdMo
Method: DFT, PBEsol
State: relaxed

Distance to the lowest polymorph of the same formula: 0.000 eV per atom
SG: Fmm2, No. 42
Raw total energy: -4.671 eV/atom
Energy relative to the elements: 0.3067 eV per atom

a = 7.4273 Å, b = 7.3005 Å, c = 2.6733 Å
α = 82.23°, β = 76.88°, γ = 20.89°
With the nearest neighbours (Å) after each atom.
Sites, in units of the cell vectors:
Li  0.0000  0.0000  0.0000  4 Li 2.67, 2 Mo 2.81, 2 Cd 2.88
Cd  0.6669  0.6669  0.3331  4 Cd 2.67, 2 Li 2.88, 2 Mo 2.94
Mo  0.3387  0.3387  0.6613  4 Mo 2.67, 2 Li 2.81, 2 Cd 2.94

=====

2.
Material: Sr2ZrAlIr
Method: DFT, PBEsol
State: relaxed

SG: P4/mmm, No. 123
Raw total energy: -4.838 eV/atom
Energy relative to the elements: 0.4990 eV per atom

a = 5.6720 Å, b = 5.6720 Å, c = 4.7416 Å
α = 90.00°, β = 90.00°, γ = 90.00°
With the nearest neighbours (Å) after each atom.
Sites, in units of the cell vectors:
Sr  0.0000  0.5000  0.0000  2 Ir 2.84
Sr  0.5000  0.0000  0.0000  2 Ir 2.84
Zr  0.0000  0.0000  0.5000  8 Sr 3.70, 4 Al 4.01
Al  0.5000  0.5000  0.5000  2 Ir 2.37
Ir  0.5000  0.5000  0.0000  2 Al 2.37

=====

3.
Material: YB3Pt
Method: DFT, PBEsol
State: relaxed

SG: Pm-3m, No. 221
Raw total energy: -4.442 eV/atom
Energy relative to the elements: 2.5250 eV per atom

a = 4.2999 Å, b = 4.2999 Å, c = 4.2999 Å
α = 90.00°, β = 90.00°, γ = 90.00°
With the nearest neighbours (Å) after each atom.
Sites, in units of the cell vectors:
Y  0.0000  0.0000  0.0000  6 B 2.15
B  0.0000  0.0000  0.5000  2 Y 2.15
B  0.0000  0.5000  0.0000  2 Y 2.15
B  0.5000  0.0000  0.0000  2 Y 2.15
Pt  0.5000  0.5000  0.5000  12 B 3.04

=====

4.
Material: ScIr2
Method: DFT, PBEsol
State: relaxed

SG: P4/mmm, No. 123
Raw total energy: -8.856 eV/atom
Energy relative to the elements: -0.1054 eV per atom

a = 3.6467 Å, b = 3.6467 Å, c = 4.1578 Å
α = 90.00°, β = 90.00°, γ = 90.00°
With the nearest neighbours (Å) after each atom.
Sites, in units of the cell vectors:
Sc  0.0000  0.0000  0.0000  8 Ir 2.77
Ir  0.0000  0.5000  0.5000  4 Ir 2.58, 4 Sc 2.77
Ir  0.5000  0.0000  0.5000  4 Ir 2.58, 4 Sc 2.77

=====

5.
Material: FeGeAs2Br
Method: DFT, PBEsol
State: relaxed

Distance to the lowest polymorph of the same formula: 0.665 eV per atom
SG: P4/mmm, No. 123
Raw total energy: -4.109 eV/atom

a = 4.8653 Å, b = 4.8653 Å, c = 5.0444 Å
α = 90.00°, β = 90.00°, γ = 90.00°
With the nearest neighbours (Å) after each atom.
Sites, in units of the cell vectors:
Fe  0.0000  0.0000  0.0000  4 Br 3.44, 8 As 3.50
Ge  0.5000  0.5000  0.5000  4 As 2.43, 2 Br 2.52
As  0.0000  0.5000  0.5000  2 Ge 2.43
As  0.5000  0.0000  0.5000  2 Ge 2.43
Br  0.5000  0.5000  0.0000  2 Ge 2.52

=====

6.
Material: Nd3Se4
Method: DFT, PBEsol
State: relaxed

SG: I-43d, No. 220
Raw total energy: -6.322 eV/atom

a = 7.6194 Å, b = 7.6194 Å, c = 7.6194 Å
α = 109.47°, β = 109.47°, γ = 109.47°
With the nearest neighbours (Å) after each atom.
Sites, in units of the cell vectors:
Nd  0.1250  0.7500  0.8750  8 Se 2.98-3.12
Nd  0.2500  0.6250  0.3750  8 Se 2.98-3.12
Nd  0.3750  0.2500  0.6250  8 Se 2.98-3.12
Nd  0.6250  0.3750  0.2500  8 Se 2.98-3.12
Nd  0.7500  0.8750  0.1250  8 Se 2.98-3.12
Nd  0.8750  0.1250  0.7500  8 Se 2.98-3.12
Se  0.0000  0.3478  0.5000  6 Nd 2.98-3.12
Se  0.0000  0.8478  0.5000  6 Nd 2.98-3.12
Se  0.1522  0.1522  0.1522  6 Nd 2.98-3.12
Se  0.3478  0.5000  0.0000  6 Nd 2.98-3.12
Se  0.5000  0.0000  0.3478  6 Nd 2.98-3.12
Se  0.5000  0.0000  0.8478  6 Nd 2.98-3.12
Se  0.6522  0.6522  0.6522  6 Nd 2.98-3.12
Se  0.8478  0.5000  0.0000  6 Nd 2.98-3.12

=====

Per-record volume, A^3/atom: 16.366 30.509 15.900 18.431 23.882 24.322